Pr4Nd7Y: relaxed, PBE.

Cell: 6.8682 6.8682 13.0677 Å, 114.42 114.42 53.23°
Element x y z (fractional)
Pr  0.0594  0.0594  0.3275
Pr  0.3637  0.3637  0.2221
Pr  0.6363  0.6363  0.7779
Pr  0.9406  0.9406  0.6725
Nd  0.0000  0.0000  0.0000
Nd  0.2089  0.2089  0.9220
Nd  0.2496  0.2496  0.6838
Nd  0.3674  0.3674  0.4983
Nd  0.6326  0.6326  0.5017
Nd  0.7504  0.7504  0.3162
Nd  0.7911  0.7911  0.0780
Y  0.5000  0.5000  0.0000

Values from the calculation:
- Formation energy: 2.8 eV/f.u.
- Density of states at the Fermi level: 1.659 states/eV per atom
- Energy relative to the lowest polymorph listed for this composition: 221 meV/atom